# SrAlNF2 PBE optimized geometry
data_SrAlNF2
_chemical_formula_sum 'Sr1 Al1 N1 F2'
_cell_length_a 4.0445
_cell_length_b 4.0445
_cell_length_c 3.7531
_cell_angle_alpha 90.00
_cell_angle_beta 90.00
_cell_angle_gamma 90.00
_symmetry_space_group_name_H-M 'P 4/m m m'
_symmetry_Int_Tables_number 123
_symmetry_space_group_name_Hall '-P 4 2'
loop_
_atom_site_label
_atom_site_type_symbol
_atom_site_fract_x
_atom_site_fract_y
_atom_site_fract_z
_atom_site_occupancy
Sr1 Sr 0.0000 0.0000 0.0000 1
Al1 Al 0.5000 0.5000 0.5000 1
N1 N 0.5000 0.5000 0.0000 1
F1 F 0.0000 0.5000 0.5000 1
# Offset from the most stable computed form: 0.0000 eV/atom
# Total energy: -5.841 eV/atom
# Magnetization: 0.0 μB/f.u.
# Uncorrected formation energy: -2.34 eV per atom